1.
PBE K2In2As3, relaxed; SG = C2/m; ΔE_f = -0.368 eV per atom
1.0
-4.092 1.643 -1.127
-5.732 -3.531 6.477
-1.054 8.323 6.768
K In As
4 4 6
Cartesian
-2.179 2.797 2.797
-8.700 3.638 9.321
-4.112 7.805 7.927
-6.766 -1.370 4.192
-2.183 5.166 6.266
-8.695 1.269 5.852
-5.397 4.220 7.367
-5.482 2.214 4.751
-6.807 4.061 12.256
-4.071 2.374 -0.138
-3.678 0.195 4.451
-7.200 6.240 7.667
-6.439 1.684 7.455
-4.439 4.751 4.663

---

2.
PBE PrEr3Hg, relaxed; SG = C2/m; ΔE_f = -0.104 eV per atom
1.0
8.492 -1.835 -0.839
-4.088 7.666 0.839
-3.333 -2.061 5.458
Pr Er Hg
2 6 2
Cartesian
3.827 -2.890 4.152
-2.756 6.660 1.306
4.775 -1.305 1.207
-1.526 3.430 2.046
2.597 0.340 3.412
3.605 1.856 0.461
-3.704 5.075 4.251
-2.535 1.914 4.997
1.671 3.316 2.552
-0.601 0.454 2.906

---

3.
PBE K4InSn4, relaxed; SG = P1; ΔE_f = -0.162 eV per atom
1.0
-2.696 6.076 0.593
-6.378 -4.115 -4.108
-4.770 -4.047 3.072
K In Sn
4 1 4
Cartesian
-8.165 -4.000 -1.850
-9.881 -1.738 0.550
-5.635 -1.008 1.333
-4.337 2.846 0.757
-6.980 1.965 3.312
-7.332 -4.151 1.707
-7.751 1.851 0.283
-5.103 -1.783 -2.282
-7.656 -0.297 -1.919

---

4.
PBE LaTeP2, relaxed; formation energy without anion corrections = -75.6 kJ/mol of formula units; SG = Cmmm
1.0
-2.654 -1.565 2.020
-0.814 -0.594 -3.544
3.880 -6.356 0.174
La P Te
1 2 1
Cartesian
1.176 -5.847 -0.631
3.877 -6.350 0.174
1.944 -3.184 0.087
-0.764 -2.669 -0.718

---

| no. | D(E_F) (states/eV/atom) | total moment (μB/f.u.) |
| --- | --- | --- |
| 1 | 0.181 | 0.000 |
| 2 | 1.181 | 0.000 |
| 3 | 0.370 | 0.000 |
| 4 | 0.616 | 0.000 |